1.
Computed, not measured: an optimized crystal structure of Pr2Tm6Th at the PBE level of DFT.

Properties
The calculation puts the density of states at the Fermi level at 14.357 states/eV/f.u. The calculation puts the total energy at -4.795 eV/atom. For the energy above the most stable polymorph in this dataset, the calculation gives 0 meV per atom.

abc: 9.735 9.735 3.470
angles: 90.00 90.00 120.00
Fractional coordinates of all 9 atoms:
Pr: 0.333 0.667 0.000
Pr: 0.667 0.333 0.000
Tm: 0.000 0.330 0.500
Tm: 0.000 0.670 0.500
Tm: 0.330 0.000 0.500
Tm: 0.330 0.330 0.500
Tm: 0.670 0.000 0.500
Tm: 0.670 0.670 0.500
Th: 0.000 0.000 0.000



2.
Computed, not measured: an optimized crystal structure of MnInCuS2 at the PBE level of DFT.

Properties
The value obtained for the formation energy (no corrections) is 1.03 eV per atom. The calculation puts the density of states at the Fermi level at 3.192 states/eV/f.u. The calculation puts the total energy at -3.819 eV/atom.

abc: 5.041 5.041 5.166
angles: 90.00 90.00 90.00
Fractional coordinates of all 5 atoms:
Mn: 0.000 0.000 0.000
In: 0.000 0.000 0.500
Cu: 0.500 0.500 0.000
S: 0.000 0.500 0.500
S: 0.500 0.000 0.500



3.
Computed, not measured: an optimized crystal structure of CaScBP2 at the PBE level of DFT.

Properties
The calculation puts the density of states at the Fermi level at 3.107 states/eV/f.u. The calculation puts the total energy at -4.106 eV/atom.

abc: 4.816 4.816 6.058
angles: 90.00 90.00 90.00
Fractional coordinates of all 5 atoms:
Ca: 0.000 0.000 0.000
Sc: 0.000 0.000 0.500
B: 0.500 0.500 0.000
P: 0.000 0.500 0.500
P: 0.500 0.000 0.500



4.
Computed, not measured: an optimized crystal structure of Ho2Ge3Pt at the PBE level of DFT.

Properties
The calculation puts the density of states at the Fermi level at 2.954 states/eV/f.u. The calculation puts the total energy at -5.659 eV/atom.

abc: 5.714 5.714 6.871
angles: 126.48 126.48 44.30
Fractional coordinates of all 6 atoms:
Ho: 0.000 0.000 0.000
Ho: 0.124 0.124 0.618
Ge: 0.391 0.391 0.207
Ge: 0.430 0.430 0.651
Ge: 0.720 0.720 0.408
Pt: 0.734 0.734 0.041



5.
Computed, not measured: an optimized crystal structure of TmTiZnIr at the PBE level of DFT.

Properties
The calculation puts the density of states at the Fermi level at 3.594 states/eV/f.u. The calculation puts the total energy at -6.103 eV/atom.

abc: 4.652 4.652 4.652
angles: 60.00 60.00 60.00
Fractional coordinates of all 4 atoms:
Tm: 0.000 0.000 0.000
Ti: 0.500 0.500 0.500
Zn: 0.750 0.750 0.750
Ir: 0.250 0.250 0.250



6.
Computed, not measured: an optimized crystal structure of Cd2Ru at the PBE level of DFT.

Properties
The calculation puts the density of states at the Fermi level at 2.851 states/eV/f.u. The calculation puts the total energy at -3.413 eV/atom.

abc: 5.852 5.852 6.654
angles: 104.21 104.21 29.94
Fractional coordinates of all 6 atoms:
Cd: 0.128 0.128 0.031
Cd: 0.189 0.189 0.633
Cd: 0.811 0.811 0.367
Cd: 0.872 0.872 0.969
Ru: 0.476 0.476 0.675
Ru: 0.524 0.524 0.325



7.
Computed, not measured: an optimized crystal structure of MgVZnPt2 at the PBE level of DFT.

Properties
The calculation puts the density of states at the Fermi level at 4.743 states/eV/f.u. The calculation puts the total energy at -4.098 eV/atom.

abc: 4.643 4.643 4.928
angles: 90.00 90.00 90.00
Fractional coordinates of all 5 atoms:
Mg: 0.000 0.000 0.000
V: 0.000 0.000 0.500
Zn: 0.500 0.500 0.000
Pt: 0.000 0.500 0.500
Pt: 0.500 0.000 0.500



8.
Computed, not measured: an optimized crystal structure of KBaZnAs at the PBE level of DFT.

Properties
The calculation puts the total energy at -2.674 eV/atom.

abc: 5.653 5.653 5.653
angles: 60.00 60.00 60.00
Fractional coordinates of all 4 atoms:
K: 0.000 0.000 0.000
Ba: 0.500 0.500 0.500
Zn: 0.750 0.750 0.750
As: 0.250 0.250 0.250



9.
Computed, not measured: an optimized crystal structure of La3Ho8Tm2 at the PBE level of DFT.

Properties
The calculation puts the density of states at the Fermi level at 20.996 states/eV/f.u. The calculation puts the total energy at -4.391 eV/atom.

abc: 10.733 10.733 5.634
angles: 90.03 90.03 42.36
Fractional coordinates of all 13 atoms:
La: 0.000 0.000 0.000
La: 0.300 0.700 0.500
La: 0.700 0.300 0.500
Ho: 0.137 0.137 0.500
Ho: 0.181 0.597 0.000
Ho: 0.325 0.325 0.499
Ho: 0.403 0.819 0.000
Ho: 0.597 0.181 0.000
Ho: 0.675 0.675 0.501
Ho: 0.819 0.403 0.000
Ho: 0.863 0.863 0.500
Tm: 0.241 0.241 0.999
Tm: 0.759 0.759 0.001



10.
Computed, not measured: an optimized crystal structure of Mn5NiN4 at the PBE level of DFT.

Properties
The value obtained for the formation energy (no corrections) is -0.10 eV per atom. The calculation puts the density of states at the Fermi level at 6.417 states/eV/f.u. The calculation puts the total energy at -8.597 eV/atom.

abc: 5.520 7.779 4.888
angles: 90.00 90.00 90.00
Fractional coordinates of all 20 atoms:
Mn: 0.010 0.036 0.246
Mn: 0.010 0.464 0.246
Mn: 0.250 0.250 0.675
Mn: 0.490 0.036 0.246
Mn: 0.490 0.464 0.246
Mn: 0.510 0.536 0.754
Mn: 0.510 0.964 0.754
Mn: 0.750 0.750 0.325
Mn: 0.990 0.536 0.754
Mn: 0.990 0.964 0.754
Ni: 0.250 0.750 0.402
Ni: 0.750 0.250 0.598
N: 0.024 0.250 0.397
N: 0.250 0.066 0.947
N: 0.250 0.434 0.947
N: 0.476 0.250 0.397
N: 0.524 0.750 0.603
N: 0.750 0.566 0.053
N: 0.750 0.934 0.053
N: 0.976 0.750 0.603



11.
Computed, not measured: an optimized crystal structure of Be2In2Ge at the PBE level of DFT.

Properties
The calculation puts the density of states at the Fermi level at 1.834 states/eV/f.u. The calculation puts the total energy at -3.097 eV/atom. For the energy above the most stable polymorph in this dataset, the calculation gives 0 meV per atom.

abc: 6.320 6.320 4.428
angles: 90.00 90.00 90.00
Fractional coordinates of all 10 atoms:
Be: 0.126 0.374 0.000
Be: 0.374 0.874 0.000
Be: 0.626 0.126 0.000
Be: 0.874 0.626 0.000
In: 0.174 0.674 0.500
In: 0.326 0.174 0.500
In: 0.674 0.826 0.500
In: 0.826 0.326 0.500
Ge: 0.000 0.000 0.000
Ge: 0.500 0.500 0.000



12.
Computed, not measured: an optimized crystal structure of MnGaSiRhSe at the PBE level of DFT.

Properties
The value obtained for the formation energy (no corrections) is -0.11 eV per atom. The calculation puts the density of states at the Fermi level at 2.341 states/eV/f.u. The calculation puts the total energy at -5.797 eV/atom. For the energy above the most stable polymorph in this dataset, the calculation gives 172 meV per atom.

abc: 6.153 6.153 4.623
angles: 99.87 99.87 27.69
Fractional coordinates of all 5 atoms:
Mn: 0.000 0.000 0.000
Ga: 0.527 0.527 0.480
Si: 0.661 0.661 0.002
Rh: 0.317 0.317 0.183
Se: 0.813 0.813 0.653



13.
Computed, not measured: an optimized crystal structure of SmUAsN2 at the PBE level of DFT.

Properties
The value obtained for the formation energy (no corrections) is -1.32 eV per atom. The calculation puts the density of states at the Fermi level at 0.405 states/eV/f.u. The calculation puts the total energy at -8.777 eV/atom.

abc: 6.629 6.629 6.629
angles: 146.35 146.35 48.32
Fractional coordinates of all 5 atoms:
Sm: 0.000 0.000 0.000
U: 0.307 0.307 0.000
As: 0.661 0.661 0.000
N: 0.387 0.887 0.500
N: 0.887 0.387 0.500



14.
Computed, not measured: an optimized crystal structure of K2CdCo at the PBE level of DFT.

Properties
The calculation puts the density of states at the Fermi level at 5.446 states/eV/f.u. The calculation puts the total energy at -1.589 eV/atom.

abc: 11.987 11.987 11.987
angles: 159.14 159.14 29.67
Fractional coordinates of all 8 atoms:
K: 0.115 0.625 0.990
K: 0.375 0.365 0.490
K: 0.635 0.125 0.010
K: 0.875 0.885 0.510
Cd: 0.250 0.750 0.500
Cd: 0.500 0.500 0.000
Co: 0.000 0.000 0.000
Co: 0.750 0.250 0.500



15.
Computed, not measured: an optimized crystal structure of NaEuAgHg at the PBE level of DFT.

Properties
The calculation puts the density of states at the Fermi level at 9.163 states/eV/f.u. The calculation puts the total energy at -3.945 eV/atom.

abc: 5.334 5.334 5.334
angles: 60.00 60.00 60.00
Fractional coordinates of all 4 atoms:
Na: 0.000 0.000 0.000
Eu: 0.500 0.500 0.500
Ag: 0.750 0.750 0.750
Hg: 0.250 0.250 0.250



16.
Computed, not measured: an optimized crystal structure of Y3B4Os2 at the PBE level of DFT.

Properties
The calculation puts the density of states at the Fermi level at 3.779 states/eV/f.u. The calculation puts the total energy at -8.006 eV/atom.

abc: 5.242 5.242 7.922
angles: 95.40 95.40 39.47
Fractional coordinates of all 9 atoms:
Y: 0.000 0.000 0.000
Y: 0.376 0.376 0.622
Y: 0.624 0.624 0.378
B: 0.105 0.105 0.667
B: 0.278 0.278 0.955
B: 0.722 0.722 0.045
B: 0.895 0.895 0.333
Os: 0.324 0.324 0.222
Os: 0.676 0.676 0.778



17.
Computed, not measured: an optimized crystal structure of PuMnBr4 at the PBE level of DFT.

Properties
The value obtained for the formation energy (no corrections) is -1.11 eV per atom. The calculation puts the density of states at the Fermi level at 13.537 states/eV/f.u. The calculation puts the total energy at -6.144 eV/atom.

abc: 6.990 4.053 7.007
angles: 90.00 90.11 90.00
Fractional coordinates of all 6 atoms:
Pu: 0.000 0.000 0.000
Mn: 0.500 0.500 0.000
Br: 0.186 0.500 0.760
Br: 0.357 0.000 0.221
Br: 0.643 0.000 0.779
Br: 0.814 0.500 0.240



18.
Computed, not measured: an optimized crystal structure of Zr3CoRu at the PBE level of DFT.

Properties
The calculation puts the density of states at the Fermi level at 6.806 states/eV/f.u. The calculation puts the total energy at -8.010 eV/atom. For the energy above the most stable polymorph in this dataset, the calculation gives 0 meV per atom.

abc: 4.728 4.728 4.728
angles: 90.00 90.00 90.00
Fractional coordinates of all 5 atoms:
Zr: 0.000 0.000 0.500
Zr: 0.000 0.500 0.000
Zr: 0.500 0.000 0.000
Co: 0.000 0.000 0.000
Ru: 0.500 0.500 0.500



19.
Computed, not measured: an optimized crystal structure of TmScPt2 at the PBE level of DFT.

Properties
The calculation puts the density of states at the Fermi level at 3.718 states/eV/f.u. The calculation puts the total energy at -6.969 eV/atom. For the energy above the most stable polymorph in this dataset, the calculation gives 5 meV per atom.

abc: 4.365 5.437 5.437
angles: 38.96 90.00 90.00
Fractional coordinates of all 4 atoms:
Tm: 0.000 0.000 0.000
Sc: 0.500 0.722 0.722
Pt: 0.000 0.271 0.271
Pt: 0.500 0.449 0.449